Record 1
TeN2ClF | the Alexandria database | GGA-PBE | optimized geometry; formation energy without anion corrections = 8.344 eV per formula unit; energy above the lowest structure with this stoichiometry = 644 meV per atom; crystal system = tetragonal; spin magnetization = 0.0 μB/f.u.; V = 67 Å³/cell
1.0
-3.432 2.191 -0.380
-1.019 -0.929 3.850
1.944 3.272 1.303
Te N F Cl
1 2 1 1
direct
0.500 0.500 0.500 Te
0.000 0.500 0.000 N
0.500 0.000 0.000 N
0.000 0.000 0.500 F
0.000 0.000 0.000 Cl

***

Record 2
TeNClF2 | the Alexandria database | GGA-PBE | optimized geometry; formation energy without anion corrections = -0.609 eV per formula unit; energy above the lowest structure with this stoichiometry = 0 meV per atom; crystal system = tetragonal; spin magnetization = 1.7 μB/f.u.; V = 81 Å³/cell
1.0
4.322 0.000 0.000
0.000 4.322 0.000
0.000 0.000 4.327
F Te Cl N
2 1 1 1
direct
0.500 0.000 0.000 F
0.000 0.500 0.000 F
0.000 0.000 0.000 Te
0.500 0.500 0.500 Cl
0.000 0.000 0.500 N

***

> What is the formation energy without anion corrections in the first record?

8.344 eV per formula unit

***

> Among the records above, which one has the highest energy above the lowest structure with this stoichiometry?

TeN2ClF

***

> The highest spin magnetization belongs to which entry?

TeNClF2